DFT (PBE+U) results for Cd2HgWO6 after structural relaxation.

Cell lengths 5.7411, 5.7414, 6.1444 Å; angles 62.14, 62.15, 60.00 degrees
With the nearest neighbours (Å) after each atom.
Element x y z (fractional)
O 0.5559 0.2620 0.2066  1 W 1.87
Cd 0.0206 0.0206 0.9383  6 O 2.26-2.47
W 0.3198 0.3198 0.0406  6 O 1.87-2.09
Hg 0.7624 0.7624 0.7128  3 O 2.21
Cd 0.5297 0.5297 0.4109  6 O 2.31-2.38
O 0.2620 0.9755 0.2066  1 W 1.87
O 0.6853 0.1536 0.7643  1 W 2.09, 1 Hg 2.21, 1 Cd 2.26
O 0.9755 0.5559 0.2066  1 W 1.87
O 0.3969 0.6853 0.7643  1 W 2.09, 1 Hg 2.21, 1 Cd 2.26
O 0.1535 0.3969 0.7642  1 W 2.09, 1 Hg 2.21, 1 Cd 2.26

Summary:
- Uncorrected energy: -5.169 eV/atom
- Space-group type: No. 146